A plane-wave DFT calculation with PBE-GGA was carried out for a geometry-optimized PmI2Br structure.

* ΔE to the lowest computed polymorph: 0.00 kJ/mol of atoms
* final energy: -31.32 eV/cell
* raw formation energy: -1534 meV/atom
* Fermi-level density of states: 0.0 states/eV/f.u.
* spin magnetization: 0.000 μB per atom

Cell: 4.022 12.565 7.825 Å, 90.00 90.00 90.00°
Space group Imm2 (No. 44)
Unique sites:
Pm1 0.000 0.000 0.000 (multiplicity 2)
I1 0.000 0.337 0.657 (multiplicity 4)
Br1 0.000 0.500 0.231 (multiplicity 2)



A plane-wave DFT calculation with PBE-GGA was carried out for a geometry-optimized PmIBr structure.

* ΔE to the lowest computed polymorph: 0.64 kJ/mol of atoms
* final energy: -12.35 eV/cell
* raw formation energy: -1459 meV/atom
* Fermi-level density of states: 1.6 states/eV/f.u.
* spin magnetization: 0.000 μB per atom

Cell: 4.1041 4.1041 7.8750 Å, 90.00 90.00 120.00°
Space group P3m1 (No. 156)
Unique sites:
Pm1 0.0000 0.0000 0.0000 (multiplicity 1)
I1 0.3333 0.6667 0.7373 (multiplicity 1)
Br1 0.6667 0.3333 0.2322 (multiplicity 1)



A plane-wave DFT calculation with PBE-GGA was carried out for a geometry-optimized Pm6Pt2I3Br structure.

* final energy: -119.88 eV/cell
* raw formation energy: -1086 meV/atom
* Fermi-level density of states: 6.7 states/eV/f.u.
* spin magnetization: 0.000 μB per atom

Cell: 7.619 13.154 8.166 Å, 90.00 108.01 90.00°
Space group C2/m (No. 12)
Unique sites:
Pm1 0.195 0.000 0.190 (multiplicity 4)
Pm2 0.249 0.316 0.193 (multiplicity 8)
Pt1 0.000 0.167 0.000 (multiplicity 4)
I1 0.000 0.000 0.500 (multiplicity 2)
I2 0.000 0.341 0.500 (multiplicity 4)
Br1 0.000 0.500 0.000 (multiplicity 2)



A plane-wave DFT calculation with PBE-GGA was carried out for a geometry-optimized Pm6Si2I3Br structure.

* final energy: -114.73 eV/cell
* raw formation energy: -974 meV/atom
* Fermi-level density of states: 5.4 states/eV/f.u.
* spin magnetization: 0.000 μB per atom

Cell: 7.476 12.960 7.961 Å, 90.00 108.17 90.00°
Space group C2/m (No. 12)
Unique sites:
Pm1 0.212 0.000 0.195 (multiplicity 4)
Pm2 0.242 0.324 0.198 (multiplicity 8)
Si1 0.000 0.167 0.000 (multiplicity 4)
I1 0.000 0.000 0.500 (multiplicity 2)
I2 0.000 0.336 0.500 (multiplicity 4)
Br1 0.000 0.500 0.000 (multiplicity 2)



A plane-wave DFT calculation with PBE-GGA was carried out for a geometry-optimized PmSmIBr structure.

* final energy: -63.82 eV/cell
* raw formation energy: -816 meV/atom
* Fermi-level density of states: 1.6 states/eV/f.u.
* spin magnetization: 0.000 μB per atom

Cell: 7.560 7.560 7.560 Å, 90.00 90.00 90.00°
Space group F-43m (No. 216)
Unique sites:
Pm1 0.000 0.000 0.000 (multiplicity 4)
Sm1 0.000 0.000 0.500 (multiplicity 4)
I1 0.250 0.250 0.750 (multiplicity 4)
Br1 0.250 0.250 0.250 (multiplicity 4)



A plane-wave DFT calculation with PBE-GGA was carried out for a geometry-optimized PmTh2I2Br4 structure.

* final energy: -41.56 eV/cell
* raw formation energy: -1354 meV/atom
* Fermi-level density of states: 0.9 states/eV/f.u.
* spin magnetization: 0.106 μB per atom

Cell: 3.9713 3.9713 24.8560 Å, 90.00 90.00 120.00°
Space group P3m1 (No. 156)
Unique sites:
Pm1 0.0000 0.0000 0.0000 (multiplicity 1)
Th1 0.0000 0.0000 0.6514 (multiplicity 1)
Th2 0.6667 0.3333 0.3291 (multiplicity 1)
I1 0.6667 0.3333 0.0868 (multiplicity 1)
I2 0.6667 0.3333 0.9132 (multiplicity 1)
Br1 0.0000 0.0000 0.2484 (multiplicity 1)
Br2 0.0000 0.0000 0.4100 (multiplicity 1)
Br3 0.6667 0.3333 0.5705 (multiplicity 1)
Br4 0.6667 0.3333 0.7321 (multiplicity 1)



A plane-wave DFT calculation with PBE-GGA was carried out for a geometry-optimized Pr2IBr structure.

* ΔE to the lowest computed polymorph: 0.00 kJ/mol of atoms
* final energy: -50.84 eV/cell
* raw formation energy: -1041 meV/atom
* Fermi-level density of states: 1.5 states/eV/f.u.
* spin magnetization: 0.000 μB per atom

Cell: 3.8463 3.8463 28.6702 Å, 90.00 90.00 120.00°
Space group R3m (No. 160, hexagonal axes)
Unique sites:
Pr1 0.0000 0.0000 0.0000 (multiplicity 3)
Pr2 0.0000 0.0000 0.1692 (multiplicity 3)
I1 0.0000 0.0000 0.7511 (multiplicity 3)
Br1 0.0000 0.0000 0.5843 (multiplicity 3)



A plane-wave DFT calculation with PBE-GGA was carried out for a geometry-optimized Pr3I7Br structure.

* final energy: -42.38 eV/cell
* raw formation energy: -1411 meV/atom
* Fermi-level density of states: 6.0 states/eV/f.u.
* spin magnetization: 0.000 μB per atom

Cell: 8.9456 8.9456 7.6875 Å, 90.00 90.00 120.00°
Space group P3m1 (No. 156)
Unique sites:
Pr1 0.0025 0.5013 0.0000 (multiplicity 3)
I1 0.1681 0.3361 0.7607 (multiplicity 3)
I2 0.3369 0.1685 0.2379 (multiplicity 3)
I3 0.6667 0.3333 0.7512 (multiplicity 1)
Br1 0.3333 0.6667 0.2135 (multiplicity 1)



A plane-wave DFT calculation with PBE-GGA was carried out for a geometry-optimized Pr2I2Br3 structure.

* ΔE to the lowest computed polymorph: 0.00 kJ/mol of atoms
* final energy: -57.10 eV/cell
* raw formation energy: -1553 meV/atom
* Fermi-level density of states: 1.9 states/eV/f.u.
* spin magnetization: 0.000 μB per atom

Cell: 11.997 3.970 11.773 Å, 90.00 105.63 90.00°
Space group C2/m (No. 12)
Unique sites:
Pr1 0.115 0.000 0.202 (multiplicity 4)
I1 0.179 0.000 0.812 (multiplicity 4)
Br1 0.000 0.500 0.000 (multiplicity 2)
Br2 0.103 0.500 0.382 (multiplicity 4)



A plane-wave DFT calculation with PBE-GGA was carried out for a geometry-optimized Pr2IBr structure.

* ΔE to the lowest computed polymorph: 3.82 kJ/mol of atoms
* final energy: -50.36 eV/cell
* raw formation energy: -1001 meV/atom
* Fermi-level density of states: 2.0 states/eV/f.u.
* spin magnetization: 0.000 μB per atom

Cell: 3.8166 3.8166 29.1256 Å, 90.00 90.00 120.00°
Space group R-3m (No. 166, hexagonal axes)
Unique sites:
Pr1 0.0000 0.0000 0.2468 (multiplicity 6)
I1 0.0000 0.0000 0.0000 (multiplicity 3)
Br1 0.0000 0.0000 0.5000 (multiplicity 3)



A plane-wave DFT calculation with PBE-GGA was carried out for a geometry-optimized PrI2Br structure.

* ΔE to the lowest computed polymorph: 0.00 kJ/mol of atoms
* final energy: -63.57 eV/cell
* raw formation energy: -1585 meV/atom
* Fermi-level density of states: 0.0 states/eV/f.u.
* spin magnetization: 0.000 μB per atom

Cell: 4.305 15.578 9.991 Å, 90.00 90.00 90.00°
Space group Cmcm (No. 63)
Unique sites:
Pr1 0.000 0.243 0.250 (multiplicity 4)
I1 0.000 0.151 0.564 (multiplicity 8)
Br1 0.000 0.386 0.750 (multiplicity 4)



A plane-wave DFT calculation with PBE-GGA was carried out for a geometry-optimized Pr2I5Br structure.

* final energy: -56.90 eV/cell
* raw formation energy: -1184 meV/atom
* Fermi-level density of states: 0.0 states/eV/f.u.
* spin magnetization: 0.000 μB per atom

Cell: 5.329 9.674 12.516 Å, 90.00 90.00 90.00°
Space group Immm (No. 71)
Unique sites:
Pr1 0.000 0.000 0.247 (multiplicity 4)
I1 0.000 0.000 0.000 (multiplicity 2)
I2 0.000 0.313 0.336 (multiplicity 8)
Br1 0.000 0.500 0.000 (multiplicity 2)